BaCuNF2 after structural relaxation, computed with PBE-GGA.

The structure in extended XYZ format:
```
5
Lattice="4.935 0.000 0.000 0.000 4.935 0.000 0.000 0.000 5.721" Properties=species:S:1:pos:R:3 pbc="T T T"
N 0.000 0.000 2.861
F 0.000 2.468 0.000
F 2.468 0.000 0.000
Cu 2.468 2.468 2.861
Ba 0.000 0.000 0.000
```

Values from the calculation:
Excess energy over the best structure of this formula in the dataset   945 meV/atom
ΔE_f (raw)   -0.499 eV/atom
D(E_F)   0.3953 states/eV per atom
SG   P4/mmm, No. 123
E_tot   -4.12 eV/atom
Total magnetic moment   2.00 μB/f.u.